[1]
Here is a relaxed ReAgHg crystal from the Alexandria database. Energies are from GGA-PBE.

Unit cell a=6.414 b=6.414 c=6.414 alpha=90.00 beta=90.00 gamma=90.00
Space group F-43m (No. 216)
One atom of each set of equivalent atoms:
Re1 0.000 0.000 0.000 [4 per cell]
Ag1 0.250 0.250 0.250 [4 per cell]
Hg1 0.250 0.250 0.750 [4 per cell]

Computed properties:
**E_form**: 136 kJ per mole of atoms
**Theoretical density**: 12.45 g/cm³

---

[2]
Here is a relaxed Mg2ReSi crystal from the Alexandria database. Energies are from GGA-PBE.

Unit cell a=3.561 b=3.561 c=5.214 alpha=90.00 beta=90.00 gamma=90.00
Space group P4/mmm (No. 123)
One atom of each set of equivalent atoms:
Mg1 0.000 0.000 0.242 [2 per cell]
Re1 0.500 0.500 0.000 [1 per cell]
Si1 0.500 0.500 0.500 [1 per cell]

Computed properties:
**Theoretical density**: 6.60 g/cm³
**Formation energy without anion corrections**: 334 meV per atom